Compound: SrAg3C
Source: the Alexandria database
Functional: PBE-GGA
Structure: optimized geometry

Unit cell a=4.584 b=4.584 c=4.584 alpha=90.00 beta=90.00 gamma=90.00
Space group Pm-3m (No. 221)
One atom of each set of equivalent atoms:
Sr 0.000 0.000 0.000 [1 per cell]
Ag 0.000 0.500 0.500 [3 per cell]
C 0.500 0.500 0.500 [1 per cell]

Properties
Energy above the lowest structure with this stoichiometry ... 0 meV per atom
DOS at the Fermi energy ... 0.4399 states/eV per atom